Entry 1:
# LuInAg2 (GGA-PBE, relaxed)
# energy above the most stable polymorph in this dataset: 79 meV/atom
# E: -3.44 eV/atom
# calculated volume: 85.78 Å³/f.u.
# size of the total moment: 0.002 μB per formula unit
data_LuInAg2
_chemical_formula_sum 'Lu2 In2 Ag4'
_symmetry_space_group_name_H-M 'P 63/m m c'
_symmetry_Int_Tables_number 194
_symmetry_space_group_name_Hall '-P 6c 2c'
_cell_length_a 4.8965
_cell_length_b 4.8965
_cell_length_c 8.2624
_cell_angle_alpha 90.00
_cell_angle_beta 90.00
_cell_angle_gamma 120.00
loop_
_atom_site_label
_atom_site_type_symbol
_atom_site_fract_x
_atom_site_fract_y
_atom_site_fract_z
Lu1 Lu 0.0000 0.0000 0.0000
In1 In 0.3333 0.6667 0.2500
Ag1 Ag 0.3333 0.6667 0.5900

=====

Entry 2:
# LuInAg2 (GGA-PBE, relaxed)
# energy above the most stable polymorph in this dataset: 0 meV/atom
# E: -3.52 eV/atom
# calculated volume: 85.75 Å³/f.u.
# size of the total moment: 0.002 μB per formula unit
data_LuInAg2
_chemical_formula_sum 'Lu2 In2 Ag4'
_symmetry_space_group_name_H-M 'P 63/m m c'
_symmetry_Int_Tables_number 194
_symmetry_space_group_name_Hall '-P 6c 2c'
_cell_length_a 4.7334
_cell_length_b 4.7334
_cell_length_c 8.8387
_cell_angle_alpha 90.00
_cell_angle_beta 90.00
_cell_angle_gamma 120.00
loop_
_atom_site_label
_atom_site_type_symbol
_atom_site_fract_x
_atom_site_fract_y
_atom_site_fract_z
Lu1 Lu 0.3333 0.6667 0.2500
In1 In 0.0000 0.0000 0.0000
Ag1 Ag 0.3333 0.6667 0.5915

=====

Entry 3:
# LuInAg2 (GGA-PBE, relaxed)
# energy above the most stable polymorph in this dataset: 254 meV/atom
# E: -3.26 eV/atom
# calculated volume: 90.04 Å³/f.u.
# size of the total moment: 0.002 μB per formula unit
data_LuInAg2
_chemical_formula_sum 'Lu2 In2 Ag4'
_symmetry_space_group_name_H-M 'P 63/m m c'
_symmetry_Int_Tables_number 194
_symmetry_space_group_name_Hall '-P 6c 2c'
_cell_length_a 5.0394
_cell_length_b 5.0394
_cell_length_c 8.1876
_cell_angle_alpha 90.00
_cell_angle_beta 90.00
_cell_angle_gamma 120.00
loop_
_atom_site_label
_atom_site_type_symbol
_atom_site_fract_x
_atom_site_fract_y
_atom_site_fract_z
Lu1 Lu 0.0000 0.0000 0.2500
In1 In 0.3333 0.6667 0.2500
Ag1 Ag 0.3333 0.6667 0.5836

=====

Entry 4:
# Nd2LuIn3AgPt2 (GGA-PBE, relaxed)
# E: -4.92 eV/atom
# calculated volume: 208.32 Å³/f.u.
# size of the total moment: 0.008 μB per formula unit
data_Nd2LuIn3AgPt2
_chemical_formula_sum 'Nd4 Lu2 In6 Ag2 Pt4'
_symmetry_space_group_name_H-M 'A m m 2'
_symmetry_Int_Tables_number 38
_symmetry_space_group_name_Hall 'A 2 -2'
_cell_length_a 3.883
_cell_length_b 13.581
_cell_length_c 7.900
_cell_angle_alpha 90.00
_cell_angle_beta 90.00
_cell_angle_gamma 90.00
loop_
_atom_site_label
_atom_site_type_symbol
_atom_site_fract_x
_atom_site_fract_y
_atom_site_fract_z
Nd1 Nd 0.000 0.206 0.000
Lu1 Lu 0.000 0.000 0.620
In1 In 0.500 0.000 0.940
In2 In 0.500 0.131 0.341
Ag1 Ag 0.000 0.000 0.210
Pt1 Pt 0.500 0.159 0.703

=====

Entry 5:
# LuInNiAg (GGA-PBE, relaxed)
# E: -4.05 eV/atom
# calculated volume: 75.76 Å³/f.u.
# size of the total moment: 0.008 μB per formula unit
data_LuInNiAg
_chemical_formula_sum 'Lu4 In4 Ni4 Ag4'
_symmetry_space_group_name_H-M 'F -4 3 m'
_symmetry_Int_Tables_number 216
_symmetry_space_group_name_Hall 'F -4 2 3'
_cell_length_a 6.717
_cell_length_b 6.717
_cell_length_c 6.717
_cell_angle_alpha 90.00
_cell_angle_beta 90.00
_cell_angle_gamma 90.00
loop_
_atom_site_label
_atom_site_type_symbol
_atom_site_fract_x
_atom_site_fract_y
_atom_site_fract_z
Lu1 Lu 0.000 0.000 0.000
In1 In 0.250 0.250 0.250
Ni1 Ni 0.000 0.000 0.500
Ag1 Ag 0.250 0.250 0.750

=====

Entry 6:
# TbLu2In3AgPt2 (GGA-PBE, relaxed)
# E: -4.90 eV/atom
# calculated volume: 196.10 Å³/f.u.
# size of the total moment: 0.001 μB per formula unit
data_TbLu2In3AgPt2
_chemical_formula_sum 'Tb2 Lu4 In6 Ag2 Pt4'
_symmetry_space_group_name_H-M 'A m m 2'
_symmetry_Int_Tables_number 38
_symmetry_space_group_name_Hall 'A 2 -2'
_cell_length_a 3.728
_cell_length_b 13.540
_cell_length_c 7.770
_cell_angle_alpha 90.00
_cell_angle_beta 90.00
_cell_angle_gamma 90.00
loop_
_atom_site_label
_atom_site_type_symbol
_atom_site_fract_x
_atom_site_fract_y
_atom_site_fract_z
Tb1 Tb 0.000 0.000 0.000
Lu1 Lu 0.000 0.205 0.613
In1 In 0.500 0.000 0.677
In2 In 0.500 0.136 0.275
Ag1 Ag 0.000 0.000 0.410
Pt1 Pt 0.500 0.169 0.907